No. 1
# Te2AuSe | Alexandria via LeMat-Bulk | SCAN | single point on PBEsol structure
data_Te2AuSe
_cell_length_a 4.047
_cell_length_b 5.760
_cell_length_c 8.319
_cell_angle_alpha 90.00
_cell_angle_beta 90.00
_cell_angle_gamma 90.00
_symmetry_space_group_name_H-M 'A m m 2'
_symmetry_Int_Tables_number 38
loop_
_symmetry_equiv_pos_as_xyz
'x,y,z'
'-x,-y,z'
'-x,y,z'
'x,-y,z'
'x,y+1/2,z+1/2'
'-x,-y+1/2,z+1/2'
'-x,y+1/2,z+1/2'
'x,-y+1/2,z+1/2'
loop_
_atom_site_label
_atom_site_fract_x
_atom_site_fract_y
_atom_site_fract_z
Te1 0.000 0.000 0.000
Te2 0.500 0.000 0.276
Au1 0.500 0.000 0.767
Se1 0.000 0.000 0.553
# uncorrected formation energy: -0.051 eV/atom
# crystal system: orthorhombic

No. 2
# Te2AuSe | Alexandria via LeMat-Bulk | SCAN | single point on PBEsol structure
data_Te2AuSe
_cell_length_a 3.906
_cell_length_b 3.906
_cell_length_c 14.120
_cell_angle_alpha 90.00
_cell_angle_beta 90.00
_cell_angle_gamma 90.00
_symmetry_space_group_name_H-M 'I -4 m 2'
_symmetry_Int_Tables_number 119
_symmetry_space_group_name_Hall 'I -4 -2'
loop_
_atom_site_label
_atom_site_fract_x
_atom_site_fract_y
_atom_site_fract_z
Te1 0.000 0.000 0.000
Te2 0.000 0.500 0.250
Au1 0.000 0.000 0.500
Se1 0.000 0.500 0.750
# uncorrected formation energy: 0.171 eV/atom
# crystal system: tetragonal

No. 3
# Te2AuSe | Alexandria via LeMat-Bulk | SCAN | single point on PBEsol structure
data_Te2AuSe
_cell_length_a 4.100
_cell_length_b 4.100
_cell_length_c 11.550
_cell_angle_alpha 90.00
_cell_angle_beta 90.00
_cell_angle_gamma 90.00
_symmetry_space_group_name_H-M 'I 4 m m'
_symmetry_Int_Tables_number 107
_symmetry_space_group_name_Hall 'I 4 -2'
loop_
_atom_site_label
_atom_site_fract_x
_atom_site_fract_y
_atom_site_fract_z
Te1 0.000 0.000 0.000
Te2 0.000 0.000 0.261
Au1 0.000 0.000 0.759
Se1 0.000 0.000 0.525
# uncorrected formation energy: -0.042 eV/atom
# crystal system: tetragonal